{
  "formula": "LaMnO3",
  "functional": "PBE with a Hubbard U",
  "state": "relaxed",
  "lattice_angstrom": [[3.944, 0.000, 0.000], [0.000, 3.944, 0.000], [0.000, 0.000, 3.944]],
  "species": ["La", "Mn", "O", "O", "O"],
  "fractional_positions": [[0.000, 0.000, 0.000], [0.500, 0.500, 0.500], [0.000, 0.500, 0.500], [0.500, 0.000, 0.500], [0.500, 0.500, 0.000]],
  "rho_g_cm3": 6.546,
  "crystal_system": "cubic",
  "e_tot_ev_per_fu": -39.8
}